Entry 1:
BaNbAs2Rh: optimized geometry, GGA-PBE.

Computed properties:
Formation energy from the elements   -0.787 eV per atom

The structure in POSCAR format:
```
BaNbAs2Rh
1.0
4.158 0.000 0.000
0.000 4.158 0.000
-2.079 -2.079 6.716
As Ba Rh Nb
2 1 1 1
Cartesian
0.000 0.000 4.867
2.079 2.079 1.849
0.000 0.000 0.000
2.079 0.000 3.358
0.000 2.079 3.358
```

***

Entry 2:
Pu2Si3Pd5: optimized geometry, GGA-PBE.

Computed properties:
Formation energy from raw total energies   -480 meV per atom

The structure in POSCAR format:
```
Pu2Si3Pd5
1.0
-3.073 -1.403 -2.181
-1.391 -1.961 3.222
-6.060 8.910 2.807
Pu Pd Si
2 5 3
Cartesian
-3.014 1.471 -0.406
-5.278 5.757 3.734
-2.232 -1.682 0.521
0.000 0.000 0.000
-6.609 6.757 1.259
-1.683 0.471 2.068
-5.262 2.773 1.924
-2.937 2.315 2.649
-5.355 4.913 0.678
-3.030 4.455 1.403
```

***

Entry 3:
TbPmHoTh: optimized geometry, GGA-PBE.

Computed properties:
Formation energy from the elements   0.019 eV per atom

The structure in POSCAR format:
```
TbPmHoTh
1.0
3.582 0.000 0.000
0.000 3.582 0.000
0.000 0.000 10.113
Pm Ho Th Tb
1 1 1 1
Cartesian
0.000 0.000 0.735
1.791 1.791 3.333
0.000 0.000 5.765
1.791 1.791 8.215
```

***

Entry 4:
SrNbAu: optimized geometry, GGA-PBE.

Computed properties:
Formation energy from the elements   0.109 eV per atom

The structure in POSCAR format:
```
SrNbAu
1.0
6.657 -0.068 -0.013
0.050 4.506 0.077
2.090 2.125 5.636
Nb Au Sr
2 2 2
Cartesian
3.447 1.004 1.900
3.181 3.230 2.962
1.600 5.482 3.967
7.369 3.146 5.354
5.139 5.432 5.018
6.543 3.220 1.780
```

***

Entry 5:
K2FeTe: optimized geometry, GGA-PBE.

Computed properties:
Formation energy from raw total energies   238 meV per atom

The structure in POSCAR format:
```
K2FeTe
1.0
-3.221 0.068 3.357
2.765 -2.585 2.705
2.429 4.932 2.230
Te K Fe
1 2 1
Cartesian
0.379 -0.026 3.589
0.008 0.015 0.007
1.207 2.450 1.108
1.594 2.440 4.704
```

***

Entry 6:
SmTe2H: optimized geometry, GGA-PBE.

The structure in POSCAR format:
```
SmTe2H
1.0
4.625 0.000 0.000
0.000 7.909 0.517
0.000 -0.767 7.149
Te Sm H
4 2 2
Cartesian
0.147 3.724 3.709
0.147 6.099 7.234
2.462 -0.230 3.451
2.462 2.144 6.976
2.459 4.906 5.594
0.150 0.952 5.335
0.161 3.708 2.029
2.448 7.662 2.288
```

***

Entry 7:
CsCeTl2Cl6: optimized geometry, GGA-PBE.

Computed properties:
Formation energy from raw total energies   -1717 meV per atom

The structure in POSCAR format:
```
CsCeTl2Cl6
1.0
-0.267 6.863 -3.514
-8.436 0.724 2.055
2.780 5.475 9.482
Cl Cs Tl Ce
12 2 4 2
Cartesian
-0.569 8.013 3.989
-5.900 9.060 3.884
-0.407 10.311 7.523
-5.516 2.750 0.500
-5.653 7.068 7.354
-1.865 1.848 1.015
-0.023 4.002 4.139
-0.270 5.994 0.669
-4.735 7.552 0.261
-1.189 5.509 7.762
-5.354 5.048 4.034
-4.059 11.214 7.008
-0.133 3.431 -1.757
-2.828 3.099 5.768
-2.597 8.186 6.739
-7.243 2.308 4.580
-3.326 4.875 1.284
1.320 10.753 3.443
1.256 6.169 2.984
-4.218 0.362 1.027
```

***

Entry 8:
Dy3BiRh: optimized geometry, GGA-PBE.

Computed properties:
Formation energy from the elements   -0.695 eV per atom

The structure in POSCAR format:
```
Dy3BiRh
1.0
-3.092 -3.036 0.319
4.755 -4.907 -0.604
1.071 -0.110 9.326
Dy Rh Bi
6 2 2
Cartesian
1.965 -3.237 3.041
-0.385 -0.812 3.340
1.386 -2.086 8.380
3.119 -7.241 5.701
0.769 -4.816 6.000
1.348 -5.968 0.661
1.057 -2.052 5.513
1.677 -6.001 3.528
3.709 -4.533 7.595
-0.975 -3.520 1.446
```

***

Entry 9:
CeSmDyHf: optimized geometry, GGA-PBE.

Computed properties:
Formation energy from the elements   0.273 eV per atom

The structure in POSCAR format:
```
CeSmDyHf
1.0
-1.247 -4.544 2.732
-2.904 -3.923 -2.419
2.374 -4.718 -1.334
Hf Ce Sm Dy
1 1 1 1
Cartesian
-0.888 -6.592 -0.510
-0.444 -3.296 -0.255
-1.332 -9.889 -0.765
0.000 0.000 0.000
```

***

Entry 10:
BBr: optimized geometry, GGA-PBE.

Computed properties:
Formation energy from raw total energies   153 meV per atom

The structure in POSCAR format:
```
BBr
1.0
3.142 0.034 0.000
1.586 3.460 0.001
0.075 1.418 8.458
B Br
2 2
Cartesian
0.823 0.717 3.856
3.980 4.195 4.602
0.823 0.717 1.933
3.980 4.195 6.525
```

***

Entry 11:
Pm2ThHg8: optimized geometry, GGA-PBE.

Computed properties:
Formation energy from the elements   -0.279 eV per atom

The structure in POSCAR format:
```
Pm2ThHg8
1.0
4.966 0.000 -1.508
-0.912 6.751 -3.002
-0.058 -0.225 8.741
Hg Th Pm
8 1 2
Cartesian
1.575 0.773 5.186
2.810 2.881 0.322
0.625 0.999 2.058
2.422 5.754 -0.955
3.371 5.527 2.172
-0.263 1.947 -0.866
1.187 3.646 3.908
4.259 4.579 5.096
2.483 0.000 -0.754
0.294 4.575 0.968
3.703 1.951 3.263
```

***

Entry 12:
BaCaMgBi: optimized geometry, GGA-PBE.

Computed properties:
Formation energy from the elements   -0.420 eV per atom

The structure in POSCAR format:
```
BaCaMgBi
1.0
-4.320 -2.218 3.298
-2.938 -4.746 -1.817
0.742 -5.138 2.740
Ba Bi Ca Mg
1 1 1 1
Cartesian
-1.629 -3.026 1.055
-3.258 -6.052 2.111
-4.887 -9.077 3.166
0.000 0.000 0.000
```

***

Table of magnetic moment (μB/f.u.), in record order: 0.0 10.3 0.0 0.0 3.2 0.0 1.0 0.0 0.6 0.0 0.0 0.0
Table of E (eV/cell), in record order: -32.58 -75.70 -21.30 -29.41 -12.85 -34.59 -79.54 -57.03 -24.12 -16.09 -22.41 -11.08